# Ta2MnSb

A crystal of Ta2MnSb relaxed with PBEsol (SCAN, Alexandria via LeMat-Bulk).

Output
- size of the total moment (μB/f.u.) = 2.3
- formation energy without anion corrections (eV/atom) = 0.00

Cell lengths 3.4163, 4.5107, 5.1804 Å; angles 115.81, 109.25, 90.00 degrees
Each line ends with the local moment (μB).
Atoms (fractional coordinates):
Mn1 0.4944 0.4944 0.9887  2.82
Sb1 0.2327 0.7327 0.4655  -0.01
Ta1 0.0047 0.0047 0.0094  -0.15
Ta2 0.7682 0.2682 0.5364  -0.25